# 1
Below is a geometry-optimized AcNd2TaN4 structure, with properties calculated at the PBE level.

Raw formation energy (eV/atom): -1.146
DFT total energy (eV per formula unit): -68.0
Size of the total moment (μB/atom): 0.000

a = 6.559 Å, b = 6.559 Å, c = 12.526 Å
α = 90.00°, β = 90.00°, γ = 148.54°
Fractional coordinates of all 16 atoms:
1 Ac 0.092 0.908 0.750
2 Ac 0.908 0.092 0.250
3 Nd 0.371 0.629 0.535
4 Nd 0.371 0.629 0.965
5 Nd 0.629 0.371 0.035
6 Nd 0.629 0.371 0.465
7 Ta 0.170 0.830 0.250
8 Ta 0.830 0.170 0.750
9 N 0.000 0.000 0.000
10 N 0.000 0.000 0.500
11 N 0.265 0.735 0.129
12 N 0.265 0.735 0.371
13 N 0.420 0.580 0.750
14 N 0.580 0.420 0.250
15 N 0.735 0.265 0.629
16 N 0.735 0.265 0.871

=====

# 2
Below is a geometry-optimized Cs2Cu2Pb structure, with properties calculated at the PBE level.

DFT total energy (eV per formula unit): -12.1
Size of the total moment (μB/atom): 0.047

a = 3.589 Å, b = 3.589 Å, c = 24.749 Å
α = 90.00°, β = 90.00°, γ = 90.00°
Fractional coordinates of all 10 atoms:
1 Cs 0.000 0.000 0.125
2 Cs 0.000 0.000 0.875
3 Cs 0.500 0.500 0.375
4 Cs 0.500 0.500 0.625
5 Cu 0.000 0.500 0.250
6 Cu 0.000 0.500 0.750
7 Cu 0.500 0.000 0.250
8 Cu 0.500 0.000 0.750
9 Pb 0.000 0.000 0.500
10 Pb 0.500 0.500 0.000